Al2BPb | PBE | relaxed

```
4
Lattice="0.2898 -4.5359 -1.3284 1.5051 -3.2751 3.0712 -3.0415 -3.1789 1.7512" Properties=species:S:1:pos:R:3 pbc="T T T"
Al -0.3117 -2.7475 0.8735
Al -0.9350 -8.2424 2.6204
B 0.0000 0.0000 0.0000
Pb -0.6233 -5.4950 1.7470
```

Output
N(E_F), states/eV per cell: 1.6
V, Å³ per atom: 18.77
Mass density, g/cm3: 6.0
ΔE to the lowest computed polymorph, kJ/mol of atoms: 57.4
DFT total energy, eV/atom: -3.43
Energy relative to the elements, eV per atom: 1.040

Al2BPb | PBE | relaxed

```
8
Lattice="-4.7587 -2.3025 3.3568 1.3829 -5.7714 -1.9983 1.0166 -4.5860 4.1366" Properties=species:S:1:pos:R:3 pbc="T T T"
Pb 0.0000 0.0000 0.0000
Pb -2.7150 -5.4627 4.0864
B 0.3558 -7.1972 1.4088
B -1.6879 -4.0370 0.6793
Al -0.1216 -5.3536 0.6600
Al -0.3160 -7.2497 3.3410
Al -1.9020 -2.9948 2.4273
Al -2.3789 -9.7217 4.5621
```

Output
N(E_F), states/eV per cell: 1.6
V, Å³ per atom: 21.68
Mass density, g/cm3: 5.2
ΔE to the lowest computed polymorph, kJ/mol of atoms: 0.0
DFT total energy, eV/atom: -4.02
Energy relative to the elements, eV per atom: 0.445

AlBPb2 | PBE | relaxed

```
4
Lattice="-1.7975 -4.6799 0.2631 -4.9073 -0.7667 0.7294 -2.8382 -1.8118 -3.7235" Properties=species:S:1:pos:R:3 pbc="T T T"
B 0.0000 0.0000 0.0000
Pb -7.1572 -5.4439 -2.0482
Pb -2.3857 -1.8146 -0.6827
Al -4.7715 -3.6293 -1.3655
```

Output
N(E_F), states/eV per cell: 1.9
V, Å³ per atom: 22.37
Mass density, g/cm3: 8.4
ΔE to the lowest computed polymorph, kJ/mol of atoms: 19.5
DFT total energy, eV/atom: -3.47
Energy relative to the elements, eV per atom: 0.991

AlBPb2 | PBE | relaxed

```
8
Lattice="6.1916 0.0000 0.0000 0.0000 6.1916 0.0000 3.0958 3.0958 5.5386" Properties=species:S:1:pos:R:3 pbc="T T T"
Al 6.1916 3.0958 2.7693
Al 0.0000 0.0000 0.0000
Pb 4.6437 5.0320 4.1539
Pb 1.9362 4.6437 1.3846
Pb 4.2554 1.5479 1.3846
Pb 7.7395 7.3512 4.1539
B 3.0958 3.0958 0.0000
B 3.0958 6.1916 2.7693
```

Output
N(E_F), states/eV per cell: 1.9
V, Å³ per atom: 26.54
Mass density, g/cm3: 7.1
ΔE to the lowest computed polymorph, kJ/mol of atoms: 0.0
DFT total energy, eV/atom: -3.67
Energy relative to the elements, eV per atom: 0.789